No. 1
# MgSc3C

Crystalline MgSc3C at its relaxed geometry (PBE, Alexandria).

abc: 7.346 7.346 4.239
angles: 90.00 90.00 108.77
Atoms (fractional coordinates):
Sc1 0.567 0.748 0.750
Sc2 0.252 0.433 0.750
Sc3 0.748 0.567 0.250
Sc4 0.000 0.000 0.000
Sc5 0.433 0.252 0.250
Sc6 0.000 0.000 0.500
C1 0.419 0.581 0.250
C2 0.581 0.419 0.750
Mg1 0.237 0.763 0.250
Mg2 0.763 0.237 0.750

**Uncorrected energy**: -26.8 eV/f.u.
**Total moment**: 0.00 μB per cell
**Energy above the lowest structure with this stoichiometry**: 918.7 meV/atom
**DOS(E_F)**: 11.914 states/eV/cell
**Symmetry**: Cmcm

No. 2
# MgSc3C

Crystalline MgSc3C at its relaxed geometry (PBE, Alexandria).

abc: 6.444 6.444 6.173
angles: 90.00 90.00 123.68
Atoms (fractional coordinates):
Sc1 0.000 0.000 0.500
Sc2 0.512 0.967 0.250
Sc3 0.967 0.512 0.750
Sc4 0.033 0.488 0.250
Sc5 0.488 0.033 0.750
Sc6 0.000 0.000 0.000
C1 0.862 0.138 0.750
C2 0.138 0.862 0.250
Mg1 0.538 0.462 0.250
Mg2 0.462 0.538 0.750

**Uncorrected energy**: -29.0 eV/f.u.
**Total moment**: 0.00 μB per cell
**Energy above the lowest structure with this stoichiometry**: 476.9 meV/atom
**DOS(E_F)**: 10.833 states/eV/cell
**Symmetry**: Cmcm